No. 1
The following is a PBEsol calculation of crystalline K2BeSb at its relaxed geometry, from the Alexandria database.

Calculated values
Its crystal system is orthorhombic. Its space group is Amm2, No. 38. Its energy above the most stable polymorph in this dataset is 0.0 meV per atom. For the formation energy without anion corrections, the calculation gives 0.008 eV per atom. As for the calculated total energy: -2.6982 eV/atom.

Unit cell a=4.2574 b=5.3527 c=12.1007 alpha=90.00 beta=90.00 gamma=90.00
With the nearest neighbours (Å) after each atom.
Element x y z (fractional)
K  0.0000  0.0000  0.0000  3 Sb 3.58-3.67, 4 Be 3.67
K  0.0000  0.5000  0.5000  3 Sb 3.58-3.67, 4 Be 3.67
K  0.5000  0.0000  0.2963  3 Be 3.50-3.80, 4 Sb 3.63
K  0.5000  0.5000  0.7963  3 Be 3.50-3.80, 4 Sb 3.63
Be  0.5000  0.0000  0.6103  2 Sb 2.37
Be  0.5000  0.5000  0.1103  2 Sb 2.37
Sb  0.0000  0.0000  0.6966  2 Be 2.37
Sb  0.0000  0.5000  0.1966  2 Be 2.37

=====

No. 2
The following is a PBEsol calculation of crystalline MgScTe at its relaxed geometry, from the Alexandria database.

Calculated values
Its crystal system is hexagonal. Its space group is P-6m2, No. 187. For the formation energy without anion corrections, the calculation gives -0.292 eV per atom. As for the calculated total energy: -4.2415 eV/atom.

Unit cell a=4.7844 b=4.7844 c=3.5852 alpha=90.00 beta=90.00 gamma=120.00
With the nearest neighbours (Å) after each atom.
Element x y z (fractional)
Mg  0.0000  0.0000  0.0000  3 Te 2.76
Sc  0.6667  0.3333  0.5000  6 Mg 3.29, 6 Te 3.29, 2 Sc 3.59
Te  0.3333  0.6667  0.0000  3 Mg 2.76

=====

No. 3
The following is a PBEsol calculation of crystalline Mg3MoSe at its relaxed geometry, from the Alexandria database.

Calculated values
Its crystal system is cubic. Its space group is Pm-3m, No. 221. For the formation energy without anion corrections, the calculation gives 0.746 eV per atom. As for the calculated total energy: -3.4080 eV/atom.

Unit cell a=4.9333 b=4.9333 c=4.9333 alpha=90.00 beta=90.00 gamma=90.00
With the nearest neighbours (Å) after each atom.
Element x y z (fractional)
Mg  0.0000  0.0000  0.5000  2 Se 2.47
Mg  0.0000  0.5000  0.0000  2 Se 2.47
Mg  0.5000  0.0000  0.0000  2 Se 2.47
Mo  0.5000  0.5000  0.5000  12 Mg 3.49
Se  0.0000  0.0000  0.0000  6 Mg 2.47

=====

No. 4
The following is a PBEsol calculation of crystalline CrPdOF2 at its relaxed geometry, from the Alexandria database.

Calculated values
Its crystal system is tetragonal. Its space group is P4/mmm, No. 123. For the formation energy without anion corrections, the calculation gives -0.486 eV per atom. As for the calculated total energy: -5.5470 eV/atom.

Unit cell a=4.1051 b=4.1051 c=3.9472 alpha=90.00 beta=90.00 gamma=90.00
With the nearest neighbours (Å) after each atom.
Element x y z (fractional)
Cr  0.0000  0.0000  0.0000  8 F 2.85, 4 O 2.90
Pd  0.5000  0.5000  0.5000  2 O 1.97, 4 F 2.05
O  0.5000  0.5000  0.0000  2 Pd 1.97
F  0.0000  0.5000  0.5000  2 Pd 2.05
F  0.5000  0.0000  0.5000  2 Pd 2.05

=====

No. 5
The following is a PBEsol calculation of crystalline ScHgRuPb2 at its relaxed geometry, from the Alexandria database.

Calculated values
Its crystal system is tetragonal. Its space group is P4/mmm, No. 123. For the energy relative to the elements, the calculation gives 1149.6 meV/atom. As for the calculated total energy: -3.9187 eV/atom.

Unit cell a=5.3980 b=5.3980 c=5.0263 alpha=90.00 beta=90.00 gamma=90.00
With the nearest neighbours (Å) after each atom.
Element x y z (fractional)
Sc  0.0000  0.0000  0.0000  8 Pb 3.69, 4 Ru 3.82
Hg  0.5000  0.5000  0.5000  2 Ru 2.51, 4 Pb 2.70
Ru  0.5000  0.5000  0.0000  2 Hg 2.51
Pb  0.0000  0.5000  0.5000  2 Hg 2.70
Pb  0.5000  0.0000  0.5000  2 Hg 2.70

=====

No. 6
The following is a PBEsol calculation of crystalline BaMnPtAu2 at its relaxed geometry, from the Alexandria database.

Calculated values
Its crystal system is tetragonal. Its space group is P4/mmm, No. 123. For the energy relative to the elements, the calculation gives -12.1 meV/atom. As for the calculated total energy: -5.3564 eV/atom.

Unit cell a=4.9476 b=4.9476 c=4.8487 alpha=90.00 beta=90.00 gamma=90.00
With the nearest neighbours (Å) after each atom.
Element x y z (fractional)
Ba  0.0000  0.0000  0.0000  8 Au 3.46, 4 Pt 3.50
Mn  0.5000  0.5000  0.5000  2 Pt 2.42, 4 Au 2.47
Pt  0.5000  0.5000  0.0000  2 Mn 2.42
Au  0.0000  0.5000  0.5000  2 Mn 2.47
Au  0.5000  0.0000  0.5000  2 Mn 2.47

=====

No. 7
The following is a PBEsol calculation of crystalline KCaCl3 at its relaxed geometry, from the Alexandria database.

Calculated values
Its crystal system is cubic. Its space group is Pm-3m, No. 221. For the formation energy without anion corrections, the calculation gives -2.188 eV per atom. As for the calculated total energy: -4.0457 eV/atom.

Unit cell a=5.3070 b=5.3070 c=5.3070 alpha=90.00 beta=90.00 gamma=90.00
With the nearest neighbours (Å) after each atom.
Element x y z (fractional)
K  0.0000  0.0000  0.0000  12 Cl 3.75
Ca  0.5000  0.5000  0.5000  6 Cl 2.65
Cl  0.0000  0.5000  0.5000  2 Ca 2.65
Cl  0.5000  0.0000  0.5000  2 Ca 2.65
Cl  0.5000  0.5000  0.0000  2 Ca 2.65

=====

No. 8
The following is a PBEsol calculation of crystalline SrCdBr2 at its relaxed geometry, from the Alexandria database.

Calculated values
Its crystal system is cubic. Its space group is Fm-3m, No. 225. Its energy above the most stable polymorph in this dataset is 0.0 meV per atom. For the formation energy without anion corrections, the calculation gives -1.231 eV per atom. As for the calculated total energy: -2.9256 eV/atom.

Unit cell a=7.6849 b=7.6849 c=7.6849 alpha=90.00 beta=90.00 gamma=90.00
With the nearest neighbours (Å) after each atom.
Element x y z (fractional)
Sr  0.0000  0.0000  0.0000  8 Br 3.33
Sr  0.0000  0.5000  0.5000  8 Br 3.33
Sr  0.5000  0.0000  0.5000  8 Br 3.33
Sr  0.5000  0.5000  0.0000  8 Br 3.33
Cd  0.0000  0.0000  0.5000  8 Br 3.33
Cd  0.0000  0.5000  0.0000  8 Br 3.33
Cd  0.5000  0.0000  0.0000  8 Br 3.33
Cd  0.5000  0.5000  0.5000  8 Br 3.33
Br  0.2500  0.2500  0.2500  4 Cd 3.33, 4 Sr 3.33
Br  0.2500  0.2500  0.7500  4 Cd 3.33, 4 Sr 3.33
Br  0.2500  0.7500  0.2500  4 Cd 3.33, 4 Sr 3.33
Br  0.2500  0.7500  0.7500  4 Cd 3.33, 4 Sr 3.33
Br  0.7500  0.2500  0.2500  4 Cd 3.33, 4 Sr 3.33
Br  0.7500  0.2500  0.7500  4 Cd 3.33, 4 Sr 3.33
Br  0.7500  0.7500  0.2500  4 Cd 3.33, 4 Sr 3.33
Br  0.7500  0.7500  0.7500  4 Cd 3.33, 4 Sr 3.33